No. 1
Material: NiGeTe2I
Method: DFT, PBE
State: relaxed Values from VASP.

Output
magnetization	0.000	μB/cell
Fermi-level density of states	3.99	states/eV/cell
formation energy (no corrections)	0.37	eV/atom
volume	26.994	Å³/atom
space-group type	P4/mmm, No. 123

```
&SYSTEM
  ibrav = 0, nat = 5, ntyp = 4
/
ATOMIC_SPECIES
Ni 58.69 Ni.upf
Te 127.60 Te.upf
I 126.90 I.upf
Ge 72.64 Ge.upf
CELL_PARAMETERS angstrom
5.066 0.000 0.000
0.000 5.066 0.000
0.000 0.000 5.260
ATOMIC_POSITIONS angstrom
Ni 0.000 0.000 0.000
Te 2.533 0.000 0.000
I 0.000 0.000 2.630
Ge 2.533 2.533 2.630
Te 0.000 2.533 0.000
```



No. 2
Material: NiGeTeI2
Method: DFT, PBE
State: relaxed Values from VASP.

Output
magnetization	0.000	μB/cell
Fermi-level density of states	3.93	states/eV/cell
formation energy (no corrections)	0.35	eV/atom
volume	28.002	Å³/atom
space-group type	P4/mmm, No. 123

```
&SYSTEM
  ibrav = 0, nat = 5, ntyp = 4
/
ATOMIC_SPECIES
Te 127.60 Te.upf
I 126.90 I.upf
Ge 72.64 Ge.upf
Ni 58.69 Ni.upf
CELL_PARAMETERS angstrom
5.195 0.000 0.000
0.000 5.195 0.000
0.000 0.000 5.187
ATOMIC_POSITIONS angstrom
Te 0.000 0.000 2.594
I 0.000 2.598 0.000
I 2.598 0.000 0.000
Ge 2.598 2.598 2.594
Ni 0.000 0.000 0.000
```



No. 3
Material: TiNi2GeI
Method: DFT, PBE
State: relaxed Values from VASP.

Output
magnetization	0.000	μB/cell
Fermi-level density of states	11.34	states/eV/cell
formation energy (no corrections)	1.22	eV/atom
volume	22.812	Å³/atom
space-group type	P4/mmm, No. 123

```
&SYSTEM
  ibrav = 0, nat = 5, ntyp = 4
/
ATOMIC_SPECIES
Ni 58.69 Ni.upf
Ge 72.64 Ge.upf
I 126.90 I.upf
Ti 47.87 Ti.upf
CELL_PARAMETERS angstrom
4.498 0.000 0.000
0.000 5.636 0.000
0.000 0.000 4.498
ATOMIC_POSITIONS angstrom
Ni 2.249 0.000 0.000
Ni 0.000 0.000 2.249
Ge 0.000 2.818 0.000
I 0.000 0.000 0.000
Ti 2.249 2.818 2.249
```



No. 4
Material: VNiGeI2
Method: DFT, PBE
State: relaxed Values from VASP.

Output
magnetization	2.826	μB/cell
Fermi-level density of states	2.94	states/eV/cell
formation energy (no corrections)	0.79	eV/atom
volume	25.217	Å³/atom
space-group type	P4/mmm, No. 123

```
&SYSTEM
  ibrav = 0, nat = 5, ntyp = 4
/
ATOMIC_SPECIES
Ni 58.69 Ni.upf
V 50.94 V.upf
I 126.90 I.upf
Ge 72.64 Ge.upf
CELL_PARAMETERS angstrom
-0.485 4.566 -2.494
-4.303 0.427 1.618
1.831 2.495 4.211
ATOMIC_POSITIONS angstrom
Ni 0.000 0.000 0.000
V -2.152 0.213 0.809
I -0.242 2.283 -1.247
I 0.915 1.247 2.106
Ge -1.479 3.744 1.667
```



No. 5
Material: RbNpGeI6
Method: DFT, PBE
State: relaxed Values from VASP.

Output
magnetization	8.000	μB/cell
Fermi-level density of states	17.68	states/eV/cell
formation energy (no corrections)	-0.82	eV/atom
volume	49.771	Å³/atom
space-group type	P-31c, No. 163

```
&SYSTEM
  ibrav = 0, nat = 18, ntyp = 4
/
ATOMIC_SPECIES
Rb 85.47 Rb.upf
Ge 72.64 Ge.upf
I 126.90 I.upf
Np 237.00 Np.upf
CELL_PARAMETERS angstrom
8.006 0.000 0.000
-4.003 6.933 0.000
0.000 0.000 16.139
ATOMIC_POSITIONS angstrom
Rb 0.000 0.000 8.070
Rb 0.000 0.000 0.000
Ge 4.003 2.311 4.035
I 1.536 2.549 5.788
I 2.564 4.329 2.282
I -2.467 4.385 13.858
Np 0.000 4.622 4.035
I 1.439 2.605 13.858
Ge 0.000 4.622 12.105
I -1.439 2.605 10.351
I 2.975 0.056 2.282
I 2.467 4.385 10.351
Np 4.003 2.311 12.105
I -1.028 6.877 10.351
I 5.442 4.329 5.788
I 6.470 2.549 2.282
I 1.028 6.877 13.858
I 5.031 0.056 5.788
```



No. 6
Material: NpTlGeI6
Method: DFT, PBE
State: relaxed Values from VASP.

Output
magnetization	8.000	μB/cell
Fermi-level density of states	8.16	states/eV/cell
formation energy (no corrections)	-0.63	eV/atom
volume	46.091	Å³/atom
space-group type	P-31c, No. 163

```
&SYSTEM
  ibrav = 0, nat = 18, ntyp = 4
/
ATOMIC_SPECIES
Ge 72.64 Ge.upf
I 126.90 I.upf
Tl 204.38 Tl.upf
Np 237.00 Np.upf
CELL_PARAMETERS angstrom
-5.918 -4.088 -3.182
1.648 -0.775 7.652
-9.754 11.573 3.273
ATOMIC_POSITIONS angstrom
Ge -8.190 6.801 6.495
Ge -5.835 -0.090 1.247
I -3.484 0.046 -0.674
I -10.541 6.665 8.416
I -6.693 5.100 8.521
Tl -4.877 5.787 1.636
I -8.874 4.270 4.957
I -6.592 -2.778 0.046
Np -10.712 5.696 2.884
Np -3.313 1.014 4.859
Tl 0.000 0.000 0.000
I -4.055 -1.542 3.238
I -8.396 -0.318 2.867
I -9.970 8.252 4.504
I -5.628 7.029 4.875
I -5.150 2.440 2.785
I -7.432 9.488 7.696
I -7.331 1.610 -0.779
```



No. 7
Material: GeI3O
Method: DFT, PBE
State: relaxed Values from VASP.

Output
magnetization	0.000	μB/cell
Fermi-level density of states	19.31	states/eV/cell
formation energy (no corrections)	0.80	eV/atom
volume	36.262	Å³/atom
space-group type	Pm-3m, No. 221

```
&SYSTEM
  ibrav = 0, nat = 5, ntyp = 3
/
ATOMIC_SPECIES
I 126.90 I.upf
O 16.00 O.upf
Ge 72.64 Ge.upf
CELL_PARAMETERS angstrom
5.660 0.000 0.000
0.000 5.660 0.000
0.000 0.000 5.660
ATOMIC_POSITIONS angstrom
I 2.830 0.000 0.000
I 0.000 2.830 0.000
I 0.000 0.000 2.830
O 2.830 2.830 2.830
Ge 0.000 0.000 0.000
```



No. 8
Material: GeI2O2
Method: DFT, PBE
State: relaxed Values from VASP.

Output
magnetization	2.201	μB/cell
Fermi-level density of states	3.46	states/eV/cell
formation energy (no corrections)	0.30	eV/atom
volume	24.378	Å³/atom
space-group type	P4/mmm, No. 123

```
&SYSTEM
  ibrav = 0, nat = 5, ntyp = 3
/
ATOMIC_SPECIES
I 126.90 I.upf
Ge 72.64 Ge.upf
O 16.00 O.upf
CELL_PARAMETERS angstrom
5.799 0.000 0.000
0.000 5.799 0.000
0.000 0.000 3.625
ATOMIC_POSITIONS angstrom
I 2.899 0.000 0.000
I 0.000 2.899 0.000
Ge 0.000 0.000 0.000
O 2.899 2.899 1.813
O 0.000 0.000 1.813
```